(1)
## TbPr2NdTl2 (PBE-GGA)

Data for a relaxed structure of TbPr2NdTl2.

Calculated values
Energy (eV per atom): -4.220
Density of states at the Fermi level (states/eV/f.u.): 6.9
ρ (g/cm³): 8.75
Total magnetic moment (Bohr magnetons per cell): 0.0
Crystal system: orthorhombic

abc: 5.249 10.311 6.971
angles: 90.00 90.00 90.00
Fractional positions:
Tb: 0.000 0.186 0.000
Tb: 0.000 0.814 0.500
Pr: 0.000 0.454 0.376
Pr: 0.000 0.546 0.876
Pr: 0.500 0.317 0.648
Pr: 0.500 0.683 0.148
Nd: 0.500 0.044 0.280
Nd: 0.500 0.956 0.780
Tl: 0.000 0.127 0.540
Tl: 0.000 0.873 0.040
Tl: 0.500 0.356 0.116
Tl: 0.500 0.644 0.616

(2)
## Tb4In2F (PBE-GGA)

Data for a relaxed structure of Tb4In2F.

Calculated values
Energy (eV per atom): -4.601
Density of states at the Fermi level (states/eV/f.u.): 5.7
ρ (g/cm³): 7.84
Total magnetic moment (Bohr magnetons per cell): 0.9
Crystal system: tetragonal

abc: 4.652 4.652 17.313
angles: 90.00 90.00 90.00
Fractional positions:
Tb: 0.000 0.000 0.183
Tb: 0.000 0.000 0.817
Tb: 0.000 0.500 0.000
Tb: 0.000 0.500 0.500
Tb: 0.500 0.000 0.000
Tb: 0.500 0.000 0.500
Tb: 0.500 0.500 0.317
Tb: 0.500 0.500 0.683
In: 0.000 0.000 0.366
In: 0.000 0.000 0.634
In: 0.500 0.500 0.134
In: 0.500 0.500 0.866
F: 0.000 0.000 0.000
F: 0.500 0.500 0.500